No. 1
Density functional theory data (PBE-GGA) for crystalline PaTe at its relaxed geometry.

Cell lengths 3.8051, 3.8051, 4.5038 Å; angles 90.00, 90.00, 120.00 degrees
Each line ends with the local moment (μB).
Sites, in units of the cell vectors:
Te 0.3333 0.6667 0.2500  -0.02
Pa 0.6667 0.3333 0.7500  0.94

Output
Total moment, μB per formula unit: 1.187
Theoretical density, Mg/m³: 10.5
VASP energy, eV/atom: -6.894

=====

No. 2
Density functional theory data (PBE-GGA) for crystalline BeFeSbAu at its relaxed geometry.

Cell lengths 4.4531, 4.4531, 4.4531 Å; angles 60.00, 60.00, 60.00 degrees
Sites, in units of the cell vectors:
Sb 0.0000 0.0000 0.0000
Be 0.2500 0.2500 0.2500
Fe 0.7500 0.7500 0.7500
Au 0.5000 0.5000 0.5000

Output
Total moment, μB per formula unit: 2.004
Theoretical density, Mg/m³: 10.2
VASP energy, eV/atom: -4.464

=====

No. 3
Density functional theory data (PBE-GGA) for crystalline NbAsPdO at its relaxed geometry.

Cell lengths 3.6803, 3.6803, 8.2771 Å; angles 90.00, 90.00, 90.00 degrees
Sites, in units of the cell vectors:
Pd 0.2500 0.7500 0.5000
Pd 0.7500 0.2500 0.5000
O 0.7500 0.2500 0.0000
O 0.2500 0.7500 0.0000
Nb 0.7500 0.7500 0.8448
Nb 0.2500 0.2500 0.1552
As 0.7500 0.7500 0.2833
As 0.2500 0.2500 0.7167

Output
Total moment, μB per formula unit: 0.000
Theoretical density, Mg/m³: 8.6
VASP energy, eV/atom: -7.096

=====

No. 4
Density functional theory data (PBE-GGA) for crystalline BaNdAgTe3 at its relaxed geometry.

Cell lengths 12.6913, 4.7808, 13.0726 Å; angles 90.00, 90.00, 90.00 degrees
Sites, in units of the cell vectors:
Te 0.4672 0.0000 0.3554
Te 0.2836 0.0000 0.6842
Te 0.5973 0.0000 0.0633
Te 0.5328 0.5000 0.6446
Te 0.0973 0.0000 0.4367
Te 0.7164 0.5000 0.3158
Te 0.4027 0.5000 0.9367
Te 0.2164 0.5000 0.1842
Te 0.7836 0.0000 0.8158
Te 0.0328 0.5000 0.8554
Te 0.9027 0.5000 0.5633
Te 0.9672 0.0000 0.1446
Ag 0.2637 0.0000 0.2806
Ag 0.7637 0.0000 0.2194
Ag 0.7363 0.5000 0.7194
Ag 0.2363 0.5000 0.7806
Nd 0.0237 0.0000 0.6845
Nd 0.5237 0.0000 0.8155
Nd 0.9763 0.5000 0.3155
Nd 0.4763 0.5000 0.1845
Ba 0.8034 0.5000 0.0142
Ba 0.3034 0.5000 0.4858
Ba 0.1966 0.0000 0.9858
Ba 0.6966 0.0000 0.5142

Output
Total moment, μB per formula unit: 0.003
Theoretical density, Mg/m³: 6.5
VASP energy, eV/atom: -4.384

=====

No. 5
Density functional theory data (PBE-GGA) for crystalline LiScNiB at its relaxed geometry.

Cell lengths 4.0150, 4.0150, 4.0150 Å; angles 60.00, 60.00, 60.00 degrees
Sites, in units of the cell vectors:
Li 0.5000 0.5000 0.5000
B 0.0000 0.0000 0.0000
Ni 0.7500 0.7500 0.7500
Sc 0.2500 0.2500 0.2500

Output
Total moment, μB per formula unit: 0.003
Theoretical density, Mg/m³: 4.4
VASP energy, eV/atom: -5.224

=====

No. 6
Density functional theory data (PBE-GGA) for crystalline ScOsPd at its relaxed geometry.

Cell lengths 4.3136, 4.3136, 4.3136 Å; angles 60.00, 60.00, 60.00 degrees
Sites, in units of the cell vectors:
Pd 0.7500 0.7500 0.7500
Os 0.2500 0.2500 0.2500
Sc 0.0000 0.0000 0.0000

Output
Total moment, μB per formula unit: 0.005
Theoretical density, Mg/m³: 10.0
VASP energy, eV/atom: -7.056

=====

No. 7
Density functional theory data (PBE-GGA) for crystalline PmScGa3 at its relaxed geometry.

Cell lengths 12.7169, 12.7169, 4.1435 Å; angles 90.00, 90.00, 161.38 degrees
Sites, in units of the cell vectors:
Ga 0.8757 0.1243 0.7500
Ga 0.1824 0.8176 0.7500
Ga 0.1243 0.8757 0.2500
Ga 0.9748 0.0252 0.7500
Ga 0.0252 0.9748 0.2500
Ga 0.8176 0.1824 0.2500
Sc 0.7050 0.2950 0.2500
Sc 0.2950 0.7050 0.7500
Pm 0.4242 0.5758 0.2500
Pm 0.5758 0.4242 0.7500

Output
Total moment, μB per formula unit: 0.000
Theoretical density, Mg/m³: 6.2
VASP energy, eV/atom: -4.671

=====

No. 8
Density functional theory data (PBE-GGA) for crystalline TeMoSe4 at its relaxed geometry.

Cell lengths 6.7520, 7.6456, 7.7842 Å; angles 60.65, 89.22, 71.63 degrees
Each line ends with the local moment (μB).
Sites, in units of the cell vectors:
Te 0.5000 0.7500 0.0000  0.07
Te 0.5000 0.2500 0.0000  0.07
Se 0.2559 0.9907 0.1541  -0.03
Se 0.7441 0.5093 0.8459  -0.03
Se 0.7441 0.0093 0.8459  -0.03
Se 0.2559 0.4907 0.1541  -0.03
Se 0.2703 0.0062 0.6163  -0.04
Se 0.2704 0.5062 0.6163  -0.04
Se 0.7297 0.9938 0.3837  -0.04
Se 0.7296 0.4938 0.3837  -0.04
Mo 0.5000 0.2500 0.5000  1.80
Mo 0.5000 0.7500 0.5000  1.80

Output
Total moment, μB per formula unit: 2.001
Theoretical density, Mg/m³: 5.5
VASP energy, eV/atom: -4.789

=====

No. 9
Density functional theory data (PBE-GGA) for crystalline RbFe3 at its relaxed geometry.

Cell lengths 7.4766, 7.4766, 4.1110 Å; angles 90.00, 90.00, 120.00 degrees
Each line ends with the local moment (μB).
Sites, in units of the cell vectors:
Fe 0.1052 0.8948 0.2500  2.59
Fe 0.8948 0.7897 0.7500  2.59
Fe 0.2103 0.1052 0.7500  2.54
Fe 0.7897 0.8948 0.2500  2.55
Fe 0.8948 0.1052 0.7500  2.59
Fe 0.1052 0.2103 0.2500  2.59
Rb 0.3333 0.6667 0.7500  0.01
Rb 0.6667 0.3333 0.2500  0.01

Output
Total moment, μB per formula unit: 8.085
Theoretical density, Mg/m³: 4.2
VASP energy, eV/atom: -5.675

=====

No. 10
Density functional theory data (PBE-GGA) for crystalline BaDyBe at its relaxed geometry.

Cell lengths 5.1007, 5.1007, 5.1007 Å; angles 60.00, 60.00, 60.00 degrees
Sites, in units of the cell vectors:
Dy 0.7500 0.7500 0.7500
Be 0.2500 0.2500 0.2500
Ba 0.0000 0.0000 0.0000

Output
Total moment, μB per formula unit: 0.003
Theoretical density, Mg/m³: 5.5
VASP energy, eV/atom: -2.221

=====

No. 11
Density functional theory data (PBE-GGA) for crystalline TlZnMo2 at its relaxed geometry.

Cell lengths 4.5962, 4.5962, 4.5962 Å; angles 60.00, 60.00, 60.00 degrees
Sites, in units of the cell vectors:
Mo 0.0000 0.0000 0.0000
Mo 0.7500 0.7500 0.7500
Zn 0.2500 0.2500 0.2500
Tl 0.5000 0.5000 0.5000

Output
Total moment, μB per formula unit: 0.005
Theoretical density, Mg/m³: 11.2
VASP energy, eV/atom: -5.708

=====

No. 12
Density functional theory data (PBE-GGA) for crystalline FeB2Pb at its relaxed geometry.

Cell lengths 4.3252, 4.3252, 4.3252 Å; angles 60.00, 60.00, 60.00 degrees
Sites, in units of the cell vectors:
B 0.7500 0.7500 0.7500
B 0.0000 0.0000 0.0000
Pb 0.5000 0.5000 0.5000
Fe 0.2500 0.2500 0.2500

Output
Total moment, μB per formula unit: 2.234
Theoretical density, Mg/m³: 8.3
VASP energy, eV/atom: -4.475